Here is crystalline ReHgPt2 at its relaxed geometry from the Alexandria database. Energies are from PBE.

Computed properties:
* calculated formation energy: 1.1 eV per formula unit
* DFT total energy: -5.94 eV/atom

Structure (POSCAR):
```
ReHgPt2
1.0
-3.5657 2.9312 -1.8637
-1.1254 -1.2454 4.6864
1.3787 2.2714 0.9347
Pt Hg Re
2 1 1
Cartesian
-2.3456 0.8429 1.4113
0.0000 0.0000 0.0000
0.1266 0.5130 2.8105
-1.0935 2.6013 -0.4645
```